No. 1
A relaxed KNa2ZnGe crystal, computed with PBE.

Unit cell a=5.714 b=5.714 c=4.823 alpha=90.00 beta=90.00 gamma=90.00
Fractional positions:
K 0.000 0.000 0.000
Na 0.000 0.500 0.500
Na 0.500 0.000 0.500
Zn 0.500 0.500 0.500
Ge 0.500 0.500 0.000

Summary:
The formation energy is 72.3 meV/atom. The calculated density is 2.35 g/cm³. As for the space-group type: No. 123. The calculation puts the polymorph energy (0 for the lowest one) at 0.047 eV/atom.


No. 2
A relaxed ThTi2Sb crystal, computed with PBE.

Unit cell a=4.695 b=4.695 c=3.823 alpha=90.00 beta=90.00 gamma=90.00
Fractional positions:
Th 0.000 0.000 0.000
Ti 0.000 0.500 0.500
Ti 0.500 0.000 0.500
Sb 0.500 0.500 0.000

Summary:
The calculated density is 8.86 g/cm³. As for the space-group type: No. 123. The value obtained for the total DFT energy (no corrections) is -28.463 eV for the cell shown.


No. 3
A relaxed Ti2Sb crystal, computed with PBE.

Unit cell a=5.071 b=5.071 c=5.071 alpha=139.23 beta=139.23 gamma=59.02
Fractional positions:
Ti 0.167 0.167 0.000
Ti 0.833 0.833 0.000
Sb 0.500 0.500 0.000

Summary:
The calculated density is 6.56 g/cm³. As for the space-group type: No. 139. The value obtained for the total DFT energy (no corrections) is -21.199 eV for the cell shown.


No. 4
A relaxed Zn2TeOs crystal, computed with PBE.

Unit cell a=4.583 b=4.583 c=4.583 alpha=60.00 beta=60.00 gamma=60.00
Fractional positions:
Zn 0.000 0.000 0.000
Zn 0.250 0.250 0.250
Te 0.750 0.750 0.750
Os 0.500 0.500 0.500

Summary:
The calculated density is 10.95 g/cm³. As for the space-group type: No. 216. The value obtained for the total DFT energy (no corrections) is -14.662 eV for the cell shown.


No. 5
A relaxed Cs3LiSc2Cl9 crystal, computed with PBE.

Unit cell a=7.359 b=7.359 c=9.031 alpha=90.00 beta=90.00 gamma=120.00
Fractional positions:
Cs 0.000 0.000 0.000
Cs 0.333 0.667 0.657
Cs 0.667 0.333 0.343
Li 0.000 0.000 0.500
Sc 0.333 0.667 0.170
Sc 0.667 0.333 0.830
Cl 0.000 0.500 0.000
Cl 0.170 0.339 0.326
Cl 0.170 0.830 0.326
Cl 0.339 0.170 0.674
Cl 0.500 0.000 0.000
Cl 0.500 0.500 0.000
Cl 0.661 0.830 0.326
Cl 0.830 0.170 0.674
Cl 0.830 0.661 0.674

Summary:
The calculated density is 3.19 g/cm³. As for the space-group type: No. 164. The value obtained for the total DFT energy (no corrections) is -63.965 eV for the cell shown.


No. 6
A relaxed La2NdDy2Cd5 crystal, computed with PBE.

Unit cell a=10.779 b=10.779 c=4.859 alpha=90.00 beta=90.00 gamma=90.00
Fractional positions:
La 0.176 0.324 0.000
La 0.324 0.824 0.000
La 0.676 0.176 0.000
La 0.824 0.676 0.000
Nd 0.000 0.000 0.000
Nd 0.500 0.500 0.000
Dy 0.122 0.622 0.000
Dy 0.378 0.122 0.000
Dy 0.622 0.878 0.000
Dy 0.878 0.378 0.000
Cd 0.000 0.500 0.500
Cd 0.069 0.802 0.500
Cd 0.198 0.069 0.500
Cd 0.302 0.569 0.500
Cd 0.431 0.302 0.500
Cd 0.500 0.000 0.500
Cd 0.569 0.698 0.500
Cd 0.698 0.431 0.500
Cd 0.802 0.931 0.500
Cd 0.931 0.198 0.500

Summary:
The formation energy is -213.8 meV/atom. The calculated density is 7.70 g/cm³. As for the space-group type: No. 127.


No. 7
A relaxed TbEu2Mg crystal, computed with PBE.

Unit cell a=5.762 b=5.762 c=5.762 alpha=60.00 beta=60.00 gamma=60.00
Fractional positions:
Tb 0.000 0.000 0.000
Eu 0.250 0.250 0.250
Eu 0.750 0.750 0.750
Mg 0.500 0.500 0.500

Summary:
The formation energy is 97.2 meV/atom. The calculated density is 5.98 g/cm³. As for the space-group type: No. 225. The calculation puts the polymorph energy (0 for the lowest one) at 0.056 eV/atom.


No. 8
A relaxed Er2InRu crystal, computed with PBE.

Unit cell a=3.429 b=3.429 c=7.748 alpha=90.00 beta=90.00 gamma=90.00
Fractional positions:
Er 0.000 0.000 0.211
Er 0.000 0.000 0.789
In 0.500 0.500 0.500
Ru 0.500 0.500 0.000

Summary:
The formation energy is -500.7 meV/atom. The calculated density is 10.03 g/cm³. As for the space-group type: No. 123. The calculation puts the polymorph energy (0 for the lowest one) at 0.000 eV/atom.


No. 9
A relaxed CeTh crystal, computed with PBE.

Unit cell a=3.905 b=3.905 c=3.905 alpha=90.00 beta=90.00 gamma=90.00
Fractional positions:
Ce 0.000 0.000 0.000
Th 0.500 0.500 0.500

Summary:
The formation energy is 195.2 meV/atom. The calculated density is 10.38 g/cm³. As for the space-group type: No. 221. The calculation puts the polymorph energy (0 for the lowest one) at 0.175 eV/atom.


No. 10
A relaxed Zr2ScW crystal, computed with PBE.

Unit cell a=10.571 b=10.571 c=10.571 alpha=16.62 beta=16.62 gamma=16.62
Fractional positions:
Zr 0.245 0.245 0.245
Zr 0.755 0.755 0.755
Sc 0.000 0.000 0.000
W 0.500 0.500 0.500

Summary:
The formation energy is 329.8 meV/atom. The calculated density is 8.10 g/cm³. As for the space-group type: No. 166. The calculation puts the polymorph energy (0 for the lowest one) at 0.201 eV/atom.


No. 11
A relaxed RuAuSe2 crystal, computed with PBE.

Unit cell a=5.359 b=5.359 c=5.626 alpha=105.34 beta=105.34 gamma=36.15
Fractional positions:
Ru 0.000 0.000 0.000
Au 0.268 0.268 0.938
Se 0.440 0.440 0.674
Se 0.656 0.656 0.242

Summary:
The calculated density is 8.27 g/cm³. As for the space-group type: No. 8. The value obtained for the total DFT energy (no corrections) is -19.000 eV for the cell shown.


Look up the calculated density of the ninth one. 10.38 g/cm³